1.
Computed, not measured: a crystal of Si3Os relaxed with PBEsol at the SCAN level of DFT.

Lattice parameters (Å, degrees): 4.6239 4.6239 4.6239 90.00 90.00 90.00
Last column: nearest neighbours and their distance in Å.
Fractional positions:
Si  0.0000  0.0000  0.5000  2 Os 2.31
Si  0.0000  0.5000  0.0000  2 Os 2.31
Si  0.5000  0.0000  0.0000  2 Os 2.31
Os  0.0000  0.0000  0.0000  6 Si 2.31

* spin magnetization: 1.95 μB/f.u.
* ΔE_f (raw): 779 meV per atom
* calculated total energy: -24.703 eV per atom
* D(E_F): 0.98 states/eV per atom
* calculated volume: 24.7 Å³/atom

2.
Computed, not measured: a crystal of SiOs relaxed with PBEsol at the SCAN level of DFT.

Lattice parameters (Å, degrees): 3.7635 3.7635 3.7635 60.00 60.00 60.00
Last column: nearest neighbours and their distance in Å.
Fractional positions:
Si  0.0000  0.0000  0.0000  4 Os 2.30
Os  0.7500  0.7500  0.7500  4 Si 2.30

* spin magnetization: 0.00 μB/f.u.
* ΔE_f (raw): 678 meV per atom
* calculated total energy: -40.270 eV per atom
* D(E_F): 0.46 states/eV per atom
* calculated volume: 18.8 Å³/atom

3.
Computed, not measured: a crystal of SiOs2 relaxed with PBEsol at the SCAN level of DFT.

Lattice parameters (Å, degrees): 5.2791 5.2791 5.6681 104.12 104.12 31.32
Last column: nearest neighbours and their distance in Å.
Fractional positions:
Si  0.1467  0.1467  0.0446  7 Os 2.40-2.63
Si  0.8533  0.8533  0.9554  7 Os 2.40-2.63
Os  0.1895  0.1895  0.6474  3 Si 2.40-2.53
Os  0.4691  0.4691  0.7236  4 Si 2.43-2.63, 2 Os 2.71
Os  0.5309  0.5309  0.2764  4 Si 2.43-2.63, 2 Os 2.71
Os  0.8105  0.8105  0.3526  3 Si 2.40-2.53

* spin magnetization: 0.00 μB/f.u.
* ΔE_f (raw): -227 meV per atom
* calculated total energy: -51.486 eV per atom
* D(E_F): 0.40 states/eV per atom
* calculated volume: 13.2 Å³/atom

4.
Computed, not measured: a crystal of SiOs relaxed with PBEsol at the SCAN level of DFT.

Lattice parameters (Å, degrees): 4.5549 4.5549 4.3365 106.33 106.33 37.20
Last column: nearest neighbours and their distance in Å.
Fractional positions:
Si  0.1236  0.1236  0.3248  7 Os 2.41-2.70, 2 Si 2.69
Si  0.8764  0.8764  0.6752  7 Os 2.41-2.70, 2 Si 2.69
Os  0.3782  0.3782  0.2008  7 Si 2.41-2.70
Os  0.6218  0.6218  0.7992  7 Si 2.41-2.70

* spin magnetization: 0.00 μB/f.u.
* ΔE_f (raw): -380 meV per atom
* calculated total energy: -41.328 eV per atom
* D(E_F): 0.30 states/eV per atom
* calculated volume: 13.0 Å³/atom

Copy entry 1 word for word.
Computed, not measured: a crystal of Si3Os relaxed with PBEsol at the SCAN level of DFT.

Lattice parameters (Å, degrees): 4.6239 4.6239 4.6239 90.00 90.00 90.00
Last column: nearest neighbours and their distance in Å.
Fractional positions:
Si  0.0000  0.0000  0.5000  2 Os 2.31
Si  0.0000  0.5000  0.0000  2 Os 2.31
Si  0.5000  0.0000  0.0000  2 Os 2.31
Os  0.0000  0.0000  0.0000  6 Si 2.31

* spin magnetization: 1.95 μB/f.u.
* ΔE_f (raw): 779 meV per atom
* calculated total energy: -24.703 eV per atom
* D(E_F): 0.98 states/eV per atom
* calculated volume: 24.7 Å³/atom